1.
# SmCo5Ge3 (PBE, relaxed)
data_SmCo5Ge3
_chemical_formula_sum 'Sm4 Co20 Ge12'
_space_group_name_H-M_alt 'C m c m'
_space_group_IT_number 63
_space_group_name_Hall '-C 2c 2'
_cell_length_a 3.828
_cell_length_b 12.131
_cell_length_c 11.333
_cell_angle_alpha 90.00
_cell_angle_beta 90.00
_cell_angle_gamma 90.00
loop_
_atom_site_label
_atom_site_type_symbol
_atom_site_fract_x
_atom_site_fract_y
_atom_site_fract_z
Sm1 Sm 0.000 0.178 0.250
Co1 Co 0.000 0.000 0.000
Co2 Co 0.000 0.190 0.563
Co3 Co 0.000 0.450 0.144
Ge1 Ge 0.000 0.106 0.750
Ge2 Ge 0.000 0.377 0.548
# Formation energy from the elements ... -280 kJ/mol of formula units
# Calculated total energy ... -6.33 eV per atom
# Crystal system ... orthorhombic

2.
# LaY5Tm12 (PBE, relaxed)
data_LaY5Tm12
_chemical_formula_sum 'La2 Y10 Tm24'
_space_group_name_H-M_alt 'C 1 2/m 1'
_space_group_IT_number 12
_space_group_name_Hall '-C 2y'
_cell_length_a 11.241
_cell_length_b 17.102
_cell_length_c 5.887
_cell_angle_alpha 90.00
_cell_angle_beta 90.04
_cell_angle_gamma 90.00
loop_
_atom_site_label
_atom_site_type_symbol
_atom_site_fract_x
_atom_site_fract_y
_atom_site_fract_z
La1 La 0.000 0.000 0.000
Y1 Y 0.000 0.167 0.500
Y2 Y 0.000 0.328 0.000
Y3 Y 0.000 0.500 0.500
Tm1 Tm 0.167 0.500 0.959
Tm2 Tm 0.174 0.333 0.549
Tm3 Tm 0.179 0.000 0.541
Tm4 Tm 0.180 0.167 0.950
# Formation energy from the elements ... 209 kJ/mol of formula units
# Calculated total energy ... -4.93 eV per atom
# Crystal system ... monoclinic

3.
# La2PmNd2 (PBE, relaxed)
data_La2PmNd2
_chemical_formula_sum 'La2 Pm1 Nd2'
_space_group_name_H-M_alt 'P 1 2/m 1'
_space_group_IT_number 10
_space_group_name_Hall '-P 2y'
_cell_length_a 5.613
_cell_length_b 3.594
_cell_length_c 9.266
_cell_angle_alpha 90.00
_cell_angle_beta 107.54
_cell_angle_gamma 90.00
loop_
_atom_site_label
_atom_site_type_symbol
_atom_site_fract_x
_atom_site_fract_y
_atom_site_fract_z
La1 La 0.198 0.000 0.396
Pm1 Pm 0.000 0.000 0.000
Nd1 Nd 0.399 0.500 0.797
# Formation energy from the elements ... 26 kJ/mol of formula units
# Calculated total energy ... -4.77 eV per atom
# Energy above the lowest structure with this stoichiometry ... 0 meV/atom
# Crystal system ... monoclinic

4.
# BaV2Rh (PBE, relaxed)
data_BaV2Rh
_chemical_formula_sum 'Ba4 V8 Rh4'
_space_group_name_H-M_alt 'F m -3 m'
_space_group_IT_number 225
_space_group_name_Hall '-F 4 2 3'
_cell_length_a 6.565
_cell_length_b 6.565
_cell_length_c 6.565
_cell_angle_alpha 90.00
_cell_angle_beta 90.00
_cell_angle_gamma 90.00
loop_
_atom_site_label
_atom_site_type_symbol
_atom_site_fract_x
_atom_site_fract_y
_atom_site_fract_z
Ba1 Ba 0.000 0.000 0.000
V1 V 0.250 0.250 0.250
Rh1 Rh 0.000 0.000 0.500
# Formation energy from the elements ... 336 kJ/mol of formula units
# Calculated total energy ... -6.01 eV per atom
# Energy above the lowest structure with this stoichiometry ... 116 meV/atom
# Crystal system ... cubic

Please write out number 3 again, unchanged.
# La2PmNd2 (PBE, relaxed)
data_La2PmNd2
_chemical_formula_sum 'La2 Pm1 Nd2'
_space_group_name_H-M_alt 'P 1 2/m 1'
_space_group_IT_number 10
_space_group_name_Hall '-P 2y'
_cell_length_a 5.613
_cell_length_b 3.594
_cell_length_c 9.266
_cell_angle_alpha 90.00
_cell_angle_beta 107.54
_cell_angle_gamma 90.00
loop_
_atom_site_label
_atom_site_type_symbol
_atom_site_fract_x
_atom_site_fract_y
_atom_site_fract_z
La1 La 0.198 0.000 0.396
Pm1 Pm 0.000 0.000 0.000
Nd1 Nd 0.399 0.500 0.797
# Formation energy from the elements ... 26 kJ/mol of formula units
# Calculated total energy ... -4.77 eV per atom
# Energy above the lowest structure with this stoichiometry ... 0 meV/atom
# Crystal system ... monoclinic